Entry 1:
{"formula": "SmThAg", "functional": "GGA-PBE", "state": "optimized geometry", "e_tot_ev_per_cell": -30.52, "polymorph_energy_ev_per_atom": 0.000, "formation_energy_ev_per_fu": -0.3, "crystal_system": "orthorhombic", "lattice": [[1.8136, -8.4975, 0.0000], [1.8136, 8.4975, 0.0000], [0.0000, 0.0000, 5.5474]], "species": ["Sm", "Sm", "Th", "Th", "Ag", "Ag"], "frac_coords": [[0.0846, 0.9154, 0.7500], [0.9154, 0.0846, 0.2500], [0.2260, 0.7740, 0.2500], [0.7740, 0.2260, 0.7500], [0.4321, 0.5679, 0.7500], [0.5679, 0.4321, 0.2500]]}

=====

Entry 2:
{"formula": "ErBr4", "functional": "GGA-PBE", "state": "optimized geometry", "e_tot_ev_per_cell": -17.02, "crystal_system": "cubic", "lattice": [[5.5494, 0.0000, 0.0000], [0.0000, 5.5494, 0.0000], [0.0000, 0.0000, 5.5494]], "species": ["Er", "Br", "Br", "Br", "Br"], "frac_coords": [[0.0000, 0.0000, 0.0000], [0.0000, 0.0000, 0.5000], [0.0000, 0.5000, 0.0000], [0.5000, 0.0000, 0.0000], [0.5000, 0.5000, 0.5000]]}

=====

Entry 3:
{"formula": "TbGdHgRu", "functional": "GGA-PBE", "state": "optimized geometry", "e_tot_ev_per_cell": -29.62, "formation_energy_ev_per_fu": -1.3, "crystal_system": "cubic", "lattice": [[0.0000, 3.5800, 3.5800], [3.5800, 0.0000, 3.5800], [3.5800, 3.5800, 0.0000]], "species": ["Tb", "Gd", "Hg", "Ru"], "frac_coords": [[0.0000, 0.0000, 0.0000], [0.5000, 0.5000, 0.5000], [0.7500, 0.7500, 0.7500], [0.2500, 0.2500, 0.2500]]}

=====

Entry 4:
{"formula": "La3DyTl4", "functional": "GGA-PBE", "state": "optimized geometry", "e_tot_ev_per_cell": -32.11, "formation_energy_ev_per_fu": -3.3, "crystal_system": "tetragonal", "lattice": [[3.8570, 0.0000, 0.0000], [0.0000, 3.8570, 0.0000], [0.0000, 0.0000, 16.3666]], "species": ["La", "La", "La", "Dy", "Tl", "Tl", "Tl", "Tl"], "frac_coords": [[0.0000, 0.0000, 0.0000], [0.0000, 0.0000, 0.2585], [0.0000, 0.0000, 0.7415], [0.0000, 0.0000, 0.5000], [0.5000, 0.5000, 0.1298], [0.5000, 0.5000, 0.3886], [0.5000, 0.5000, 0.6114], [0.5000, 0.5000, 0.8702]]}